This record from Alexandria describes a relaxed structure of TcMoOs. The functional is GGA-PBE.

Values from the calculation:
The distance to the lowest polymorph of the same formula is 0.000 eV per atom. The calculation puts the calculated density at 14.14 g/cm3. As for the total energy: -64.53 eV per cell. Its total moment is 0.000 μB/cell.

a b c (Å): 2.7525 2.7525 11.9063
angles (deg): 90.00 90.00 90.00
Space group I4mm (No. 107)
One atom of each set of equivalent atoms:
Tc  0.0000  0.0000  0.0000 (multiplicity 2)
Mo  0.0000  0.0000  0.6788 (multiplicity 2)
Os  0.0000  0.0000  0.3493 (multiplicity 2)


This record from Alexandria describes a relaxed structure of KIn2SnHg. The functional is GGA-PBE.

Values from the calculation:
The calculation puts the calculated density at 6.36 g/cm3. As for the total energy: -23.00 eV per cell. Its total moment is 0.000 μB/cell.

a b c (Å): 7.7555 5.0165 8.3522
angles (deg): 90.00 108.99 90.00
Space group P2_1/m (No. 11)
One atom of each set of equivalent atoms:
K  0.1587  0.2500  0.2037 (multiplicity 2)
In  0.2016  0.7500  0.5445 (multiplicity 2)
In  0.3725  0.7500  0.9887 (multiplicity 2)
Sn  0.1828  0.2500  0.7601 (multiplicity 2)
Hg  0.4851  0.7500  0.3695 (multiplicity 2)


> The lowest calculated density belongs to which entry?

KIn2SnHg


> What is the total moment in the second record?

0.000 μB/cell


> total energy of number 2 (KIn2SnHg)?

-23.00 eV per cell


> The highest total energy belongs to which entry?

KIn2SnHg